# LiTcAg2 (PBEsol, optimized geometry)
data_LiTcAg2
_cell_length_a 6.287
_cell_length_b 6.287
_cell_length_c 6.287
_cell_angle_alpha 90.00
_cell_angle_beta 90.00
_cell_angle_gamma 90.00
_symmetry_space_group_name_H-M 'F m -3 m'
_symmetry_Int_Tables_number 225
_symmetry_space_group_name_Hall '-F 4 2 3'
loop_
_atom_site_label
_atom_site_fract_x
_atom_site_fract_y
_atom_site_fract_z
Li1 0.000 0.000 0.000
Tc1 0.000 0.000 0.500
Ag1 0.250 0.250 0.250
# Volume in Å³ per cell: 248.5
# E above lowest polymorph in meV/atom: 257
# Total moment in μB/atom: 0.5208